1.
# V6CoPt10 (PBE-GGA, optimized geometry)
# raw total energy	-7.473	eV per atom
# density	15.003	g/cm3
# energy of formation	-283	meV/atom
# space group	No. 162
data_V6CoPt10
_symmetry_space_group_name_H-M 'P 1'
_symmetry_Int_Tables_number 1
_cell_length_a 7.4280
_cell_length_b 7.4280
_cell_length_c 5.3632
_cell_angle_alpha 90.00
_cell_angle_beta 90.00
_cell_angle_gamma 120.00
loop_
_symmetry_equiv_pos_as_xyz
'x,y,z'
loop_
_atom_site_label
_atom_site_type_symbol
_atom_site_fract_x
_atom_site_fract_y
_atom_site_fract_z
V1 V 0.0000 0.3583 0.1877
V2 V 0.0000 0.6417 0.8123
V3 V 0.3583 0.0000 0.1877
V4 V 0.3583 0.3583 0.8123
V5 V 0.6417 0.0000 0.8123
V6 V 0.6417 0.6417 0.1877
Co1 Co 0.0000 0.0000 0.0000
Pt1 Pt 0.0000 0.2829 0.6830
Pt2 Pt 0.0000 0.7171 0.3170
Pt3 Pt 0.2829 0.0000 0.6830
Pt4 Pt 0.2829 0.2829 0.3170
Pt5 Pt 0.3333 0.6667 0.0000
Pt6 Pt 0.3333 0.6667 0.5000
Pt7 Pt 0.6667 0.3333 0.0000
Pt8 Pt 0.6667 0.3333 0.5000
Pt9 Pt 0.7171 0.0000 0.3170
Pt10 Pt 0.7171 0.7171 0.6830

=====

2.
# InTeSe2 (PBE-GGA, optimized geometry)
# raw total energy	-3.303	eV per atom
# uncorrected formation energy	-0.4	eV per formula unit
# density	6.392	g/cm3
# space group	No. 166
# polymorph energy (0 for the lowest one)	127	meV/atom
data_InTeSe2
_symmetry_space_group_name_H-M 'P 1'
_symmetry_Int_Tables_number 1
_cell_length_a 7.9274
_cell_length_b 7.9274
_cell_length_c 7.9274
_cell_angle_alpha 29.07
_cell_angle_beta 29.07
_cell_angle_gamma 29.07
loop_
_symmetry_equiv_pos_as_xyz
'x,y,z'
loop_
_atom_site_label
_atom_site_type_symbol
_atom_site_fract_x
_atom_site_fract_y
_atom_site_fract_z
In1 In 0.0000 0.0000 0.0000
Te1 Te 0.5000 0.5000 0.5000
Se1 Se 0.2573 0.2573 0.2573
Se2 Se 0.7427 0.7427 0.7427

=====

3.
# Sn5Bi (PBE-GGA, optimized geometry)
# raw total energy	-3.907	eV per atom
# density	7.813	g/cm3
# energy of formation	75	meV/atom
# space group	No. 65
# polymorph energy (0 for the lowest one)	37	meV/atom
data_Sn5Bi
_symmetry_space_group_name_H-M 'P 1'
_symmetry_Int_Tables_number 1
_cell_length_a 8.2017
_cell_length_b 8.2017
_cell_length_c 4.1657
_cell_angle_alpha 90.00
_cell_angle_beta 90.00
_cell_angle_gamma 142.51
loop_
_symmetry_equiv_pos_as_xyz
'x,y,z'
loop_
_atom_site_label
_atom_site_type_symbol
_atom_site_fract_x
_atom_site_fract_y
_atom_site_fract_z
Sn1 Sn 0.0000 0.0000 0.0000
Sn2 Sn 0.1699 0.8301 0.5000
Sn3 Sn 0.3309 0.6691 0.0000
Sn4 Sn 0.6691 0.3309 0.0000
Sn5 Sn 0.8301 0.1699 0.5000
Bi1 Bi 0.5000 0.5000 0.5000

=====

4.
# LaCu2GePd4 (PBE-GGA, optimized geometry)
# raw total energy	-5.250	eV per atom
# density	9.152	g/cm3
# energy of formation	-436	meV/atom
# space group	No. 166
data_LaCu2GePd4
_symmetry_space_group_name_H-M 'P 1'
_symmetry_Int_Tables_number 1
_cell_length_a 8.8888
_cell_length_b 8.8888
_cell_length_c 8.8888
_cell_angle_alpha 28.21
_cell_angle_beta 28.21
_cell_angle_gamma 28.21
loop_
_symmetry_equiv_pos_as_xyz
'x,y,z'
loop_
_atom_site_label
_atom_site_type_symbol
_atom_site_fract_x
_atom_site_fract_y
_atom_site_fract_z
La1 La 0.0000 0.0000 0.0000
Cu1 Cu 0.2428 0.2428 0.2428
Cu2 Cu 0.7572 0.7572 0.7572
Ge1 Ge 0.5000 0.5000 0.5000
Pd1 Pd 0.1330 0.1330 0.1330
Pd2 Pd 0.4030 0.4030 0.4030
Pd3 Pd 0.5970 0.5970 0.5970
Pd4 Pd 0.8670 0.8670 0.8670